(1)
Here is crystalline Th4TlCu at its relaxed geometry from the Alexandria database. Energies are from PBE.

Results
volume	341.3	Å³ per cell
electronic total energy	-72.92	eV per cell
symmetry	P4/mcc
DFT formation energy	-0.05	eV/atom

Cell: 5.8688 7.6255 7.6255 Å, 90.00 90.00 90.00°
Positions (direct):
Th1 0.0000 0.3558 0.1694
Th2 0.5000 0.6442 0.1694
Th3 0.0000 0.1694 0.6442
Th4 0.5000 0.1694 0.3558
Th5 0.0000 0.6442 0.8306
Cu1 0.2500 0.5000 0.5000
Th6 0.5000 0.3558 0.8306
Tl1 0.2500 0.0000 0.0000
Th7 0.5000 0.8306 0.6442
Tl2 0.7500 0.0000 0.0000
Cu2 0.7500 0.5000 0.5000
Th8 0.0000 0.8306 0.3558

=====

(2)
Here is crystalline ThTlCu at its relaxed geometry from the Alexandria database. Energies are from PBE.

Results
volume	71.0	Å³ per cell
electronic total energy	-13.90	eV per cell
symmetry	I4mm
DFT formation energy	0.00	eV/atom

Cell: 3.4572 3.4572 6.4270 Å, 105.60 105.60 90.00°
Positions (direct):
Th1 0.9301 0.9301 0.8602
Cu1 0.2786 0.2786 0.5572
Tl1 0.6413 0.6413 0.2826